Record 1
VASP calculation (GGA-PBE) on a relaxed RbPHO crystal.

raw total energy = -4.48 eV/atom
total moment = 0.25 μB/atom

Geometry as CIF:
```
data_RbPHO
_symmetry_space_group_name_H-M 'P 1'
_symmetry_Int_Tables_number 1
_cell_length_a 4.726
_cell_length_b 4.744
_cell_length_c 5.194
_cell_angle_alpha 89.50
_cell_angle_beta 82.08
_cell_angle_gamma 60.90
loop_
_symmetry_equiv_pos_as_xyz
'x,y,z'
loop_
_atom_site_label
_atom_site_type_symbol
_atom_site_fract_x
_atom_site_fract_y
_atom_site_fract_z
_atom_site_occupancy
Rb1 Rb 0.000 0.000 0.000 1
P1 P 0.276 0.371 0.485 1
H1 H 0.620 0.218 0.529 1
O1 O 0.305 0.349 0.178 1
```


Record 2
VASP calculation (GGA-PBE) on a relaxed RbPH2O2 crystal.

raw total energy = -5.18 eV/atom
total moment = 0.00 μB/atom

Geometry as CIF:
```
data_RbPH2O2
_symmetry_space_group_name_H-M 'P n m a'
_symmetry_Int_Tables_number 62
_cell_length_a 8.227
_cell_length_b 6.463
_cell_length_c 7.798
_cell_angle_alpha 90.00
_cell_angle_beta 90.00
_cell_angle_gamma 90.00
loop_
_symmetry_equiv_pos_as_xyz
'x,y,z'
'-x,-y,-z'
'-x+1/2,-y,z+1/2'
'x+1/2,y,-z+1/2'
'x+1/2,-y+1/2,-z+1/2'
'-x+1/2,y+1/2,z+1/2'
'-x,y+1/2,-z'
'x,-y+1/2,z'
loop_
_atom_site_label
_atom_site_type_symbol
_atom_site_fract_x
_atom_site_fract_y
_atom_site_fract_z
_atom_site_occupancy
Rb1 Rb 0.130 0.250 0.143 1
P1 P 0.120 0.250 0.683 1
H1 H 0.021 0.750 0.425 1
H2 H 0.248 0.250 0.560 1
O1 O 0.125 0.047 0.782 1
```


What did the second record say?
VASP calculation (GGA-PBE) on a relaxed RbPH2O2 crystal.

raw total energy = -5.18 eV/atom
total moment = 0.00 μB/atom

Geometry as CIF:
```
data_RbPH2O2
_symmetry_space_group_name_H-M 'P n m a'
_symmetry_Int_Tables_number 62
_cell_length_a 8.227
_cell_length_b 6.463
_cell_length_c 7.798
_cell_angle_alpha 90.00
_cell_angle_beta 90.00
_cell_angle_gamma 90.00
loop_
_symmetry_equiv_pos_as_xyz
'x,y,z'
'-x,-y,-z'
'-x+1/2,-y,z+1/2'
'x+1/2,y,-z+1/2'
'x+1/2,-y+1/2,-z+1/2'
'-x+1/2,y+1/2,z+1/2'
'-x,y+1/2,-z'
'x,-y+1/2,z'
loop_
_atom_site_label
_atom_site_type_symbol
_atom_site_fract_x
_atom_site_fract_y
_atom_site_fract_z
_atom_site_occupancy
Rb1 Rb 0.130 0.250 0.143 1
P1 P 0.120 0.250 0.683 1
H1 H 0.021 0.750 0.425 1
H2 H 0.248 0.250 0.560 1
O1 O 0.125 0.047 0.782 1
```


Question: Look up the raw total energy of the first one.
Answer: -4.48 eV/atom


What did the first record say?
VASP calculation (GGA-PBE) on a relaxed RbPHO crystal.

raw total energy = -4.48 eV/atom
total moment = 0.25 μB/atom

Geometry as CIF:
```
data_RbPHO
_symmetry_space_group_name_H-M 'P 1'
_symmetry_Int_Tables_number 1
_cell_length_a 4.726
_cell_length_b 4.744
_cell_length_c 5.194
_cell_angle_alpha 89.50
_cell_angle_beta 82.08
_cell_angle_gamma 60.90
loop_
_symmetry_equiv_pos_as_xyz
'x,y,z'
loop_
_atom_site_label
_atom_site_type_symbol
_atom_site_fract_x
_atom_site_fract_y
_atom_site_fract_z
_atom_site_occupancy
Rb1 Rb 0.000 0.000 0.000 1
P1 P 0.276 0.371 0.485 1
H1 H 0.620 0.218 0.529 1
O1 O 0.305 0.349 0.178 1
```